Sm2HfU2Ru5 | PBE-GGA | optimized geometry

* formation enthalpy at 0 K: -0.26 eV per atom
* volume: 394.23 Å³ per cell
* DFT total energy: -9.094 eV/atom

abc: 10.601 10.601 3.508
angles: 90.00 90.00 90.00
Space group P4/mbm (No. 127)
One atom of each set of equivalent atoms:
Sm 0.174 0.326 0.000 [4 per cell]
Hf 0.000 0.000 0.000 [2 per cell]
U 0.139 0.639 0.000 [4 per cell]
Ru 0.000 0.500 0.500 [2 per cell]
Ru 0.051 0.797 0.500 [8 per cell]

=====

Hf4SnRu | PBE-GGA | optimized geometry

* formation enthalpy at 0 K: -0.02 eV per atom
* volume: 291.95 Å³ per cell
* DFT total energy: -8.873 eV/atom

abc: 7.509 6.748 5.766
angles: 90.00 92.09 90.00
Space group P2_1/c (No. 14)
One atom of each set of equivalent atoms:
Hf 0.136 0.149 0.421 [4 per cell]
Hf 0.243 0.690 0.309 [4 per cell]
Sn 0.500 0.000 0.500 [2 per cell]
Ru 0.000 0.000 0.000 [2 per cell]

=====

Hf3SnRu4 | PBE-GGA | optimized geometry

* formation enthalpy at 0 K: -0.69 eV per atom
* volume: 135.67 Å³ per cell
* DFT total energy: -9.563 eV/atom

abc: 3.262 4.545 9.150
angles: 90.00 90.00 90.00
Space group Pmmm (No. 47)
One atom of each set of equivalent atoms:
Hf 0.000 0.000 0.000 [1 per cell]
Hf 0.000 0.500 0.254 [2 per cell]
Sn 0.000 0.000 0.500 [1 per cell]
Ru 0.500 0.000 0.248 [2 per cell]
Ru 0.500 0.500 0.000 [1 per cell]
Ru 0.500 0.500 0.500 [1 per cell]